DFT (SCAN) results for SiSnPCl2 at its PBEsol-relaxed geometry.

Calculated values
E: -13.940 eV/atom
magnetization: 0.00 μB per cell
density of states at the Fermi level: 2.0 states/eV/f.u.
crystal system: tetragonal
formation energy from raw total energies: 518 meV per atom

Structure (CIF):
```
data_SiSnPCl2
_symmetry_space_group_name_H-M 'P 1'
_symmetry_Int_Tables_number 1
_cell_length_a 5.0050
_cell_length_b 5.0050
_cell_length_c 5.1603
_cell_angle_alpha 90.00
_cell_angle_beta 90.00
_cell_angle_gamma 90.00
loop_
_symmetry_equiv_pos_as_xyz
'x,y,z'
loop_
_atom_site_label
_atom_site_type_symbol
_atom_site_fract_x
_atom_site_fract_y
_atom_site_fract_z
Si1 Si 0.0000 0.0000 0.0000
Sn1 Sn 0.5000 0.5000 0.5000
P1 P 0.5000 0.5000 0.0000
Cl1 Cl 0.0000 0.5000 0.5000
Cl2 Cl 0.5000 0.0000 0.5000
```